Version A
This record from the Alexandria database describes a geometry-optimized Cs2InGeF structure. The functional is GGA-PBE. Values from VASP.

Properties
**Size of the total moment**: 0.00 μB per formula unit
**Space group**: No. 123

Geometry as Quantum ESPRESSO input:
```
&SYSTEM
  ibrav = 0, nat = 5, ntyp = 4
/
ATOMIC_SPECIES
Cs 132.91 Cs.upf
In 114.82 In.upf
F 19.00 F.upf
Ge 72.64 Ge.upf
CELL_PARAMETERS angstrom
7.343 0.000 0.000
0.000 5.149 0.000
0.000 0.000 7.343
ATOMIC_POSITIONS angstrom
Cs 0.000 0.000 3.671
In 0.000 0.000 0.000
Cs 3.671 0.000 0.000
F 3.671 2.575 3.671
Ge 0.000 2.575 0.000
```


Version B
This record from the Alexandria database describes a geometry-optimized Cs2InGeF structure. The functional is GGA-PBE. Values from VASP.

Properties
**Size of the total moment**: 1.31 μB per formula unit
**Space group**: No. 123

Geometry as Quantum ESPRESSO input:
```
&SYSTEM
  ibrav = 0, nat = 5, ntyp = 4
/
ATOMIC_SPECIES
F 19.00 F.upf
In 114.82 In.upf
Ge 72.64 Ge.upf
Cs 132.91 Cs.upf
CELL_PARAMETERS angstrom
-4.917 -1.016 5.375
-2.685 -2.395 -2.910
3.421 -6.211 1.955
ATOMIC_POSITIONS angstrom
F -1.343 -1.198 -1.455
In 0.000 0.000 0.000
Ge -2.091 -4.811 2.210
Cs -2.459 -0.508 2.687
Cs 1.710 -3.105 0.978
```


Pick version A: it beats the second-best structure by 165 meV/atom.